[1]
The following is a DFT calculation (PBE) of a relaxed structure of HoMnGa5Ni2.

Cell lengths 4.6293, 4.6293, 6.9963 Å; angles 90.00, 90.00, 90.00 degrees
Fractional coordinates of all 9 atoms:
Ho1 0.0000 0.0000 0.0000
Mn1 0.0000 0.0000 0.5000
Ga1 0.0000 0.5000 0.3009
Ga2 0.0000 0.5000 0.6991
Ga3 0.5000 0.0000 0.3009
Ga4 0.5000 0.0000 0.6991
Ga5 0.5000 0.5000 0.0000
Ni1 0.5000 0.5000 0.3292
Ni2 0.5000 0.5000 0.6708

* formation energy from the elements: -164 meV per atom



[2]
The following is a DFT calculation (PBE) of a relaxed structure of MnTcNi4.

Cell lengths 4.6647, 4.6647, 4.6647 Å; angles 60.00, 60.00, 60.00 degrees
Fractional coordinates of all 6 atoms:
Mn1 0.0000 0.0000 0.0000
Tc1 0.7500 0.7500 0.7500
Ni1 0.3752 0.3752 0.3752
Ni2 0.3752 0.3752 0.8744
Ni3 0.3752 0.8744 0.3752
Ni4 0.8744 0.3752 0.3752

* formation energy from the elements: 59 meV per atom



[3]
The following is a DFT calculation (PBE) of a relaxed structure of CsNbI2.

Cell lengths 5.9383, 5.9383, 5.9383 Å; angles 60.00, 60.00, 60.00 degrees
Fractional coordinates of all 4 atoms:
Cs1 0.0000 0.0000 0.0000
Nb1 0.5000 0.5000 0.5000
I1 0.2500 0.2500 0.2500
I2 0.7500 0.7500 0.7500

* final energy: -3.275 eV per atom



[4]
The following is a DFT calculation (PBE) of a relaxed structure of YTmRh.

Cell lengths 7.9197, 7.9197, 7.9197 Å; angles 147.06, 147.06, 47.28 degrees
Fractional coordinates of all 6 atoms:
Y1 0.1852 0.1852 0.0000
Y2 0.8148 0.8148 0.0000
Tm1 0.0000 0.5000 0.5000
Tm2 0.5000 0.0000 0.5000
Rh1 0.3749 0.3749 0.0000
Rh2 0.6251 0.6251 0.0000

* formation energy from the elements: -579 meV per atom
* E above lowest polymorph: 25 meV per atom